Entry 1:
LaHf2AgIr: single point on PBEsol structure, SCAN.

Cell lengths 4.9270, 4.9270, 5.1839 Å; angles 90.00, 90.00, 90.00 degrees
With the nearest neighbours (Å) after each atom.
Element x y z (fractional)
Ir  0.0000  0.0000  0.0000  4 Hf 2.46, 2 Ag 2.59
Hf  0.0000  0.5000  0.0000  2 Ir 2.46
Hf  0.5000  0.0000  0.0000  2 Ir 2.46
Ag  0.0000  0.0000  0.5000  2 Ir 2.59
La  0.5000  0.5000  0.5000  4 Ag 3.48, 8 Hf 3.58

## Properties
total moment	0.00	μB per formula unit
volume	25.2	A^3/atom
space-group type	P4/mmm
total DFT energy (no corrections)	-54.17	eV per atom
ΔH_f (0 K)	8	kJ/mol of formula units

Entry 2:
HfAgIr2O: single point on PBEsol structure, SCAN.

Cell lengths 3.8636, 4.9388, 4.9388 Å; angles 90.00, 90.00, 90.00 degrees
With the nearest neighbours (Å) after each atom.
Element x y z (fractional)
Ir  0.0000  0.0000  0.5000  2 Hf 2.47
Ir  0.0000  0.5000  0.0000  2 Hf 2.47
Hf  0.0000  0.0000  0.0000  2 O 1.93
O  0.5000  0.0000  0.0000  2 Hf 1.93
Ag  0.5000  0.5000  0.5000  8 Ir 3.14, 4 O 3.49

## Properties
total moment	1.99	μB per formula unit
volume	18.8	A^3/atom
space-group type	P4/mmm
total DFT energy (no corrections)	-48.05	eV per atom
formation energy (no corrections)	43	kJ per mole of atoms

Entry 3:
HfZr2AgIr: single point on PBEsol structure, SCAN.

Cell lengths 4.8866, 4.9250, 4.9250 Å; angles 90.00, 90.00, 90.00 degrees
With the nearest neighbours (Å) after each atom.
Element x y z (fractional)
Ir  0.5000  0.5000  0.5000  8 Zr 3.47, 4 Hf 3.48
Hf  0.5000  0.0000  0.0000  2 Ag 2.44
Zr  0.0000  0.0000  0.5000  2 Ag 2.46
Zr  0.0000  0.5000  0.0000  2 Ag 2.46
Ag  0.0000  0.0000  0.0000  2 Hf 2.44, 4 Zr 2.46

## Properties
total moment	0.00	μB per formula unit
volume	23.7	A^3/atom
space-group type	P4/mmm
total DFT energy (no corrections)	-44.13	eV per atom
ΔH_f (0 K)	570	kJ/mol of formula units

Entry 4:
LiHfAgRh2: single point on PBEsol structure, SCAN.

Cell lengths 4.1496, 4.1496, 4.3027 Å; angles 90.00, 90.00, 90.00 degrees
With the nearest neighbours (Å) after each atom.
Element x y z (fractional)
Rh  0.0000  0.5000  0.0000  2 Li 2.07
Rh  0.5000  0.0000  0.0000  2 Li 2.07
Hf  0.0000  0.0000  0.5000  2 Li 2.15
Ag  0.5000  0.5000  0.5000  4 Hf 2.93, 8 Rh 2.99
Li  0.0000  0.0000  0.0000  4 Rh 2.07, 2 Hf 2.15

## Properties
total moment	0.00	μB per formula unit
volume	14.8	A^3/atom
space-group type	P4/mmm
total DFT energy (no corrections)	-32.44	eV per atom
ΔH_f (0 K)	170	kJ/mol of formula units

Entry 5:
LiHfAg2Sb: single point on PBEsol structure, SCAN.

Cell lengths 4.5598, 5.0638, 5.0638 Å; angles 90.00, 90.00, 90.00 degrees
With the nearest neighbours (Å) after each atom.
Element x y z (fractional)
Sb  0.0000  0.0000  0.0000  2 Li 2.28, 4 Ag 2.53
Hf  0.5000  0.5000  0.5000  8 Ag 3.41, 4 Li 3.58
Ag  0.0000  0.0000  0.5000  2 Sb 2.53
Ag  0.0000  0.5000  0.0000  2 Sb 2.53
Li  0.5000  0.0000  0.0000  2 Sb 2.28

## Properties
total moment	0.01	μB per formula unit
volume	23.4	A^3/atom
space-group type	P4/mmm
total DFT energy (no corrections)	-32.13	eV per atom
formation energy (no corrections)	85	kJ per mole of atoms

Entry 6:
HfMgAgSb2: single point on PBEsol structure, SCAN.

Cell lengths 4.6295, 5.2133, 5.2133 Å; angles 90.00, 90.00, 90.00 degrees
With the nearest neighbours (Å) after each atom.
Element x y z (fractional)
Sb  0.0000  0.0000  0.5000  2 Mg 2.61
Sb  0.0000  0.5000  0.0000  2 Mg 2.61
Mg  0.0000  0.0000  0.0000  2 Ag 2.31
Hf  0.5000  0.5000  0.5000  8 Sb 3.49, 4 Ag 3.69
Ag  0.5000  0.0000  0.0000  2 Mg 2.31

## Properties
total moment	0.00	μB per formula unit
volume	25.2	A^3/atom
space-group type	P4/mmm
total DFT energy (no corrections)	-33.91	eV per atom
formation energy (no corrections)	77	kJ per mole of atoms

Entry 7:
HfMn2Ag: single point on PBEsol structure, SCAN.

Cell lengths 4.3875, 4.3875, 4.3875 Å; angles 60.00, 60.00, 60.00 degrees
With the nearest neighbours (Å) after each atom.
Element x y z (fractional)
Mn  0.2500  0.2500  0.2500  4 Hf 2.69, 4 Ag 2.69
Mn  0.7500  0.7500  0.7500  4 Hf 2.69, 4 Ag 2.69
Hf  0.5000  0.5000  0.5000  8 Mn 2.69
Ag  0.0000  0.0000  0.0000  8 Mn 2.69

## Properties
total moment	5.67	μB per formula unit
volume	14.9	A^3/atom
space-group type	Fm-3m
total DFT energy (no corrections)	-32.59	eV per atom
ΔH_f (0 K)	19	kJ/mol of formula units

Entry 8:
HfSc2MnAg: single point on PBEsol structure, SCAN.

Cell lengths 5.0202, 5.0202, 5.0754 Å; angles 90.00, 90.00, 90.00 degrees
With the nearest neighbours (Å) after each atom.
Element x y z (fractional)
Sc  0.0000  0.5000  0.0000  2 Ag 2.51
Sc  0.5000  0.0000  0.0000  2 Ag 2.51
Mn  0.5000  0.5000  0.5000  4 Hf 3.55, 8 Sc 3.57
Hf  0.0000  0.0000  0.5000  2 Ag 2.54
Ag  0.0000  0.0000  0.0000  4 Sc 2.51, 2 Hf 2.54

## Properties
total moment	4.52	μB per formula unit
volume	25.6	A^3/atom
space-group type	P4/mmm
total DFT energy (no corrections)	-27.48	eV per atom
ΔH_f (0 K)	323	kJ/mol of formula units

What did the seventh record say?
HfMn2Ag: single point on PBEsol structure, SCAN.

Cell lengths 4.3875, 4.3875, 4.3875 Å; angles 60.00, 60.00, 60.00 degrees
With the nearest neighbours (Å) after each atom.
Element x y z (fractional)
Mn  0.2500  0.2500  0.2500  4 Hf 2.69, 4 Ag 2.69
Mn  0.7500  0.7500  0.7500  4 Hf 2.69, 4 Ag 2.69
Hf  0.5000  0.5000  0.5000  8 Mn 2.69
Ag  0.0000  0.0000  0.0000  8 Mn 2.69

## Properties
total moment	5.67	μB per formula unit
volume	14.9	A^3/atom
space-group type	Fm-3m
total DFT energy (no corrections)	-32.59	eV per atom
ΔH_f (0 K)	19	kJ/mol of formula units